# 1
Density functional theory data (GGA-PBEsol) for FeTeSe2 after structural relaxation.

Geometry as CIF:
```
data_FeTeSe2
_cell_length_a 3.616
_cell_length_b 4.826
_cell_length_c 9.000
_cell_angle_alpha 90.00
_cell_angle_beta 90.00
_cell_angle_gamma 90.00
_space_group_name_H-M_alt 'A m m 2'
_space_group_IT_number 38
loop_
_space_group_symop_operation_xyz
'x,y,z'
'-x,-y,z'
'-x,y,z'
'x,-y,z'
'x,y+1/2,z+1/2'
'-x,-y+1/2,z+1/2'
'-x,y+1/2,z+1/2'
'x,-y+1/2,z+1/2'
loop_
_atom_site_label
_atom_site_type_symbol
_atom_site_fract_x
_atom_site_fract_y
_atom_site_fract_z
Fe1 Fe 0.000 0.000 0.000
Te1 Te 0.500 0.000 0.807
Se1 Se 0.000 0.000 0.516
Se2 Se 0.500 0.000 0.165
```

Density, kg/m3: 7219
Size of the total moment, μB per formula unit: 0.6
E, eV/atom: -5.12
ΔE_f (raw), eV/atom: -0.07


# 2
Density functional theory data (GGA-PBEsol) for InReSi2 after structural relaxation.

Geometry as CIF:
```
data_InReSi2
_cell_length_a 6.327
_cell_length_b 6.327
_cell_length_c 6.327
_cell_angle_alpha 90.00
_cell_angle_beta 90.00
_cell_angle_gamma 90.00
_space_group_name_H-M_alt 'F -4 3 m'
_space_group_IT_number 216
_space_group_name_Hall 'F -4 2 3'
loop_
_atom_site_label
_atom_site_type_symbol
_atom_site_fract_x
_atom_site_fract_y
_atom_site_fract_z
In1 In 0.000 0.000 0.000
Re1 Re 0.250 0.250 0.750
Si1 Si 0.000 0.000 0.500
Si2 Si 0.250 0.250 0.250
```

Density, kg/m3: 9366
Size of the total moment, μB per formula unit: 0.0
E, eV/atom: -6.22
ΔE_f (raw), eV/atom: 0.73


# 3
Density functional theory data (GGA-PBEsol) for FeBSeN2 after structural relaxation.

Geometry as CIF:
```
data_FeBSeN2
_cell_length_a 3.439
_cell_length_b 3.439
_cell_length_c 5.131
_cell_angle_alpha 90.00
_cell_angle_beta 90.00
_cell_angle_gamma 90.00
_space_group_name_H-M_alt 'P 4/m m m'
_space_group_IT_number 123
_space_group_name_Hall '-P 4 2'
loop_
_atom_site_label
_atom_site_type_symbol
_atom_site_fract_x
_atom_site_fract_y
_atom_site_fract_z
Fe1 Fe 0.000 0.000 0.000
B1 B 0.500 0.500 0.500
Se1 Se 0.000 0.000 0.500
N1 N 0.000 0.500 0.000
```

Density, kg/m3: 4751
Size of the total moment, μB per formula unit: 0.0
E, eV/atom: -6.22
ΔE_f (raw), eV/atom: 1.16


# 4
Density functional theory data (GGA-PBEsol) for BaNi2Pd2 after structural relaxation.

Geometry as CIF:
```
data_BaNi2Pd2
_cell_length_a 4.215
_cell_length_b 4.215
_cell_length_c 10.157
_cell_angle_alpha 90.00
_cell_angle_beta 90.00
_cell_angle_gamma 90.00
_space_group_name_H-M_alt 'I 4/m m m'
_space_group_IT_number 139
_space_group_name_Hall '-I 4 2'
loop_
_atom_site_label
_atom_site_type_symbol
_atom_site_fract_x
_atom_site_fract_y
_atom_site_fract_z
Ba1 Ba 0.000 0.000 0.000
Ni1 Ni 0.000 0.000 0.387
Pd1 Pd 0.000 0.500 0.250
```

Density, kg/m3: 8607
Size of the total moment, μB per formula unit: 1.2
E, eV/atom: -5.24
Energy of formation, eV per atom: 0.032


# 5
Density functional theory data (GGA-PBEsol) for ReW2 after structural relaxation.

Geometry as CIF:
```
data_ReW2
_cell_length_a 3.127
_cell_length_b 3.127
_cell_length_c 9.410
_cell_angle_alpha 90.00
_cell_angle_beta 90.00
_cell_angle_gamma 90.00
_space_group_name_H-M_alt 'I 4/m m m'
_space_group_IT_number 139
_space_group_name_Hall '-I 4 2'
loop_
_atom_site_label
_atom_site_type_symbol
_atom_site_fract_x
_atom_site_fract_y
_atom_site_fract_z
Re1 Re 0.000 0.000 0.000
W1 W 0.000 0.000 0.333
```

Density, kg/m3: 19992
Distance to the lowest polymorph of the same formula, meV per atom: 8
Size of the total moment, μB per formula unit: 0.0
E, eV/atom: -13.57
Energy of formation, eV per atom: 0.076


# 6
Density functional theory data (GGA-PBEsol) for SnHPd2 after structural relaxation.

Geometry as CIF:
```
data_SnHPd2
_cell_length_a 6.209
_cell_length_b 6.209
_cell_length_c 5.588
_cell_angle_alpha 90.00
_cell_angle_beta 90.00
_cell_angle_gamma 90.00
_space_group_name_H-M_alt 'I -4 2 d'
_space_group_IT_number 122
_space_group_name_Hall 'I -4 2bw'
loop_
_atom_site_label
_atom_site_type_symbol
_atom_site_fract_x
_atom_site_fract_y
_atom_site_fract_z
Sn1 Sn 0.000 0.000 0.000
H1 H 0.000 0.000 0.500
Pd1 Pd 0.137 0.750 0.625
```

Density, kg/m3: 10254
Size of the total moment, μB per formula unit: 0.0
E, eV/atom: -5.19


# 7
Density functional theory data (GGA-PBEsol) for CdTe3 after structural relaxation.

Geometry as CIF:
```
data_CdTe3
_cell_length_a 8.0945
_cell_length_b 8.0945
_cell_length_c 4.0453
_cell_angle_alpha 90.00
_cell_angle_beta 90.00
_cell_angle_gamma 120.00
_space_group_name_H-M_alt 'P 63/m m c'
_space_group_IT_number 194
_space_group_name_Hall '-P 6c 2c'
loop_
_atom_site_label
_atom_site_type_symbol
_atom_site_fract_x
_atom_site_fract_y
_atom_site_fract_z
Cd1 Cd 0.3333 0.6667 0.2500
Te1 Te 0.1714 0.3427 0.7500
```

Density, kg/m3: 7165
Size of the total moment, μB per formula unit: 0.0
E, eV/atom: -2.90
ΔE_f (raw), eV/atom: 0.05


# 8
Density functional theory data (GGA-PBEsol) for Si2MoIr after structural relaxation.

Geometry as CIF:
```
data_Si2MoIr
_cell_length_a 6.502
_cell_length_b 6.502
_cell_length_c 5.759
_cell_angle_alpha 90.00
_cell_angle_beta 90.00
_cell_angle_gamma 90.00
_space_group_name_H-M_alt 'I -4 2 d'
_space_group_IT_number 122
_space_group_name_Hall 'I -4 2bw'
loop_
_atom_site_label
_atom_site_type_symbol
_atom_site_fract_x
_atom_site_fract_y
_atom_site_fract_z
Si1 Si 0.227 0.750 0.125
Mo1 Mo 0.000 0.000 0.500
Ir1 Ir 0.000 0.000 0.000
```

Density, kg/m3: 9393
Size of the total moment, μB per formula unit: 0.0
E, eV/atom: -8.09
ΔE_f (raw), eV/atom: 0.18


Fermi-level density of states readings, ordered: 4.862 15.119 2.854 15.148 4.409 4.510 3.817 13.567 states/eV/cell